1) Material: SrHgBr
Method: DFT, PBE-GGA
State: relaxed

Values from the calculation:
symmetry = Fmm2, No. 42

a = 7.347 Å, b = 7.356 Å, c = 3.982 Å
α = 74.16°, β = 74.41°, γ = 31.42°
Positions (direct):
Sr (0.343, 0.343, 0.657)
Hg (0.699, 0.699, 0.301)
Br (0.958, 0.958, 0.042)

2) Material: SrHgBr
Method: DFT, PBE-GGA
State: relaxed

Values from the calculation:
symmetry = F-43m, No. 216

a = 5.436 Å, b = 5.436 Å, c = 5.436 Å
α = 60.00°, β = 60.00°, γ = 60.00°
Positions (direct):
Sr (0.750, 0.750, 0.750)
Hg (0.500, 0.500, 0.500)
Br (0.000, 0.000, 0.000)

Preferred: 1); penalty for the next structure: 12.9 kJ/mol of atoms.

1) Material: SrHgBr
Method: DFT, PBE-GGA
State: relaxed

Values from the calculation:
symmetry = P3m1, No. 156

a = 5.301 Å, b = 5.301 Å, c = 4.479 Å
α = 90.00°, β = 90.00°, γ = 120.00°
Positions (direct):
Sr (0.333, 0.667, 0.832)
Hg (0.667, 0.333, 0.334)
Br (0.000, 0.000, 0.835)

2) Material: SrHgBr
Method: DFT, PBE-GGA
State: relaxed

Values from the calculation:
symmetry = F-43m, No. 216

a = 5.326 Å, b = 5.326 Å, c = 5.326 Å
α = 60.00°, β = 60.00°, γ = 60.00°
Positions (direct):
Sr (0.500, 0.500, 0.500)
Hg (0.000, 0.000, 0.000)
Br (0.750, 0.750, 0.750)

Preferred: 1); penalty for the next structure: 12.6 kJ/mol of atoms.

1) Material: Sr2Hg2Br
Method: DFT, PBE-GGA
State: relaxed

Values from the calculation:
symmetry = P4/mbm, No. 127

a = 8.667 Å, b = 8.667 Å, c = 4.718 Å
α = 90.00°, β = 90.00°, γ = 90.00°
Positions (direct):
Sr (0.321, 0.821, 0.000)
Sr (0.821, 0.679, 0.000)
Sr (0.679, 0.179, 0.000)
Sr (0.179, 0.321, 0.000)
Hg (0.121, 0.621, 0.500)
Hg (0.621, 0.879, 0.500)
Hg (0.879, 0.379, 0.500)
Hg (0.379, 0.121, 0.500)
Br (0.000, 0.000, 0.000)
Br (0.500, 0.500, 0.000)

2) Material: Sr2Hg2Br
Method: DFT, PBE-GGA
State: relaxed

Values from the calculation:
symmetry = I4/mmm, No. 139

a = 4.352 Å, b = 4.352 Å, c = 9.752 Å
α = 77.11°, β = 77.11°, γ = 90.00°
Positions (direct):
Sr (0.386, 0.386, 0.228)
Sr (0.614, 0.614, 0.772)
Hg (0.750, 0.250, 0.500)
Hg (0.250, 0.750, 0.500)
Br (0.000, 0.000, 0.000)

Preferred: 1); penalty for the next structure: 13.2 kJ/mol of atoms.

1) Material: SrHg3Br
Method: DFT, PBE-GGA
State: relaxed

Values from the calculation:
symmetry = Pm-3m, No. 221

a = 6.042 Å, b = 6.042 Å, c = 6.042 Å
α = 90.00°, β = 90.00°, γ = 90.00°
Positions (direct):
Sr (0.500, 0.500, 0.500)
Hg (0.000, 0.500, 0.000)
Hg (0.000, 0.000, 0.500)
Hg (0.500, 0.000, 0.000)
Br (0.000, 0.000, 0.000)

2) Material: SrHg3Br
Method: DFT, PBE-GGA
State: relaxed

Values from the calculation:
symmetry = Pm-3m, No. 221

a = 6.426 Å, b = 6.426 Å, c = 6.426 Å
α = 90.00°, β = 90.00°, γ = 90.00°
Positions (direct):
Sr (0.000, 0.000, 0.000)
Hg (0.000, 0.500, 0.000)
Hg (0.000, 0.000, 0.500)
Hg (0.500, 0.000, 0.000)
Br (0.500, 0.500, 0.500)

Preferred: 2); penalty for the next structure: 13.9 kJ/mol of atoms.

1) Material: SrHg2Br2
Method: DFT, PBE-GGA
State: relaxed

Values from the calculation:
symmetry = P4/mbm, No. 127

a = 7.975 Å, b = 7.975 Å, c = 6.660 Å
α = 90.00°, β = 90.00°, γ = 90.00°
Positions (direct):
Sr (0.000, 0.000, 0.000)
Sr (0.500, 0.500, 0.000)
Hg (0.148, 0.648, 0.500)
Hg (0.648, 0.852, 0.500)
Hg (0.852, 0.352, 0.500)
Hg (0.352, 0.148, 0.500)
Br (0.329, 0.829, 0.000)
Br (0.829, 0.671, 0.000)
Br (0.671, 0.171, 0.000)
Br (0.171, 0.329, 0.000)

2) Material: SrHg2Br2
Method: DFT, PBE-GGA
State: relaxed

Values from the calculation:
symmetry = I4/mmm, No. 139

a = 6.403 Å, b = 6.403 Å, c = 6.412 Å
α = 60.05°, β = 60.05°, γ = 90.00°
Positions (direct):
Sr (0.000, 0.000, 0.000)
Hg (0.345, 0.345, 0.309)
Hg (0.655, 0.655, 0.691)
Br (0.750, 0.250, 0.500)
Br (0.250, 0.750, 0.500)

3) Material: SrHg2Br2
Method: DFT, PBE-GGA
State: relaxed

Values from the calculation:
symmetry = P4/mbm, No. 127

a = 8.307 Å, b = 8.307 Å, c = 4.863 Å
α = 90.00°, β = 90.00°, γ = 90.00°
Positions (direct):
Sr (0.000, 0.000, 0.000)
Sr (0.500, 0.500, 0.000)
Hg (0.378, 0.878, 0.000)
Hg (0.878, 0.622, 0.000)
Hg (0.622, 0.122, 0.000)
Hg (0.122, 0.378, 0.000)
Br (0.186, 0.686, 0.500)
Br (0.686, 0.814, 0.500)
Br (0.814, 0.314, 0.500)
Br (0.314, 0.186, 0.500)

Preferred: 1); penalty for the next structure: 26.7 kJ/mol of atoms.

1) Material: TaHg2Br
Method: DFT, PBE-GGA
State: relaxed

Values from the calculation:
symmetry = Pm, No. 6

a = 4.679 Å, b = 3.223 Å, c = 6.030 Å
α = 74.71°, β = 90.00°, γ = 90.00°
Positions (direct):
Hg (0.000, 0.943, 0.993)
Hg (0.500, 0.298, 0.276)
Br (0.500, 0.576, 0.724)
Ta (0.000, 0.683, 0.507)

2) Material: TaHg2Br
Method: DFT, PBE-GGA
State: relaxed

Values from the calculation:
symmetry = F-43m, No. 216

a = 4.939 Å, b = 4.939 Å, c = 4.939 Å
α = 60.00°, β = 60.00°, γ = 60.00°
Positions (direct):
Hg (0.000, 0.000, 0.000)
Hg (0.250, 0.250, 0.250)
Br (0.500, 0.500, 0.500)
Ta (0.750, 0.750, 0.750)

Preferred: 1); penalty for the next structure: 44.8 kJ/mol of atoms.